Version P
A plane-wave DFT calculation with PBE was carried out for a relaxed structure of NbNiSbI2.

The structure in CIF format:
```
data_NbNiSbI2
_cell_length_a 5.472
_cell_length_b 5.472
_cell_length_c 5.538
_cell_angle_alpha 90.00
_cell_angle_beta 90.00
_cell_angle_gamma 90.00
_space_group_name_H-M_alt 'P 4/m m m'
_space_group_IT_number 123
_space_group_name_Hall '-P 4 2'
loop_
_atom_site_label
_atom_site_fract_x
_atom_site_fract_y
_atom_site_fract_z
_atom_site_occupancy
Nb1 0.000 0.000 0.000 1
Ni1 0.500 0.500 0.500 1
Sb1 0.000 0.000 0.500 1
I1 0.000 0.500 0.000 1
```

Version Q
A plane-wave DFT calculation with PBE was carried out for a relaxed structure of NbNiSbI2.

The structure in CIF format:
```
data_NbNiSbI2
_cell_length_a 5.151
_cell_length_b 5.151
_cell_length_c 5.025
_cell_angle_alpha 90.00
_cell_angle_beta 90.00
_cell_angle_gamma 90.00
_space_group_name_H-M_alt 'P 4/m m m'
_space_group_IT_number 123
_space_group_name_Hall '-P 4 2'
loop_
_atom_site_label
_atom_site_fract_x
_atom_site_fract_y
_atom_site_fract_z
_atom_site_occupancy
Nb1 0.000 0.000 0.000 1
Ni1 0.500 0.500 0.500 1
Sb1 0.500 0.500 0.000 1
I1 0.000 0.500 0.500 1
```

Preferred: version Q; penalty for the next structure: 0.051 eV/atom.

Version P
A plane-wave DFT calculation with PBE was carried out for a relaxed structure of NbNiTe2I.

The structure in CIF format:
```
data_NbNiTe2I
_cell_length_a 5.027
_cell_length_b 5.027
_cell_length_c 5.154
_cell_angle_alpha 90.00
_cell_angle_beta 90.00
_cell_angle_gamma 90.00
_space_group_name_H-M_alt 'P 4/m m m'
_space_group_IT_number 123
_space_group_name_Hall '-P 4 2'
loop_
_atom_site_label
_atom_site_fract_x
_atom_site_fract_y
_atom_site_fract_z
_atom_site_occupancy
Nb1 0.000 0.000 0.000 1
Ni1 0.500 0.500 0.500 1
Te1 0.000 0.500 0.500 1
I1 0.500 0.500 0.000 1
```

Version Q
A plane-wave DFT calculation with PBE was carried out for a relaxed structure of NbNiTe2I.

The structure in CIF format:
```
data_NbNiTe2I
_cell_length_a 5.365
_cell_length_b 5.365
_cell_length_c 5.709
_cell_angle_alpha 90.00
_cell_angle_beta 90.00
_cell_angle_gamma 90.00
_space_group_name_H-M_alt 'P 4/m m m'
_space_group_IT_number 123
_space_group_name_Hall '-P 4 2'
loop_
_atom_site_label
_atom_site_fract_x
_atom_site_fract_y
_atom_site_fract_z
_atom_site_occupancy
Nb1 0.000 0.000 0.000 1
Ni1 0.500 0.500 0.500 1
Te1 0.000 0.500 0.000 1
I1 0.000 0.000 0.500 1
```

Preferred: version P; penalty for the next structure: 0.058 eV/atom.

Version P
A plane-wave DFT calculation with PBE was carried out for a relaxed structure of Nb2I2O.

The structure in CIF format:
```
data_Nb2I2O
_cell_length_a 6.209
_cell_length_b 6.209
_cell_length_c 5.522
_cell_angle_alpha 90.00
_cell_angle_beta 90.00
_cell_angle_gamma 90.00
_space_group_name_H-M_alt 'P 4/m b m'
_space_group_IT_number 127
_space_group_name_Hall '-P 4 2ab'
loop_
_atom_site_label
_atom_site_fract_x
_atom_site_fract_y
_atom_site_fract_z
_atom_site_occupancy
Nb1 0.198 0.302 0.000 1
I1 0.186 0.314 0.500 1
O1 0.000 0.000 0.000 1
```

Version Q
A plane-wave DFT calculation with PBE was carried out for a relaxed structure of Nb2I2O.

The structure in CIF format:
```
data_Nb2I2O
_cell_length_a 5.939
_cell_length_b 5.939
_cell_length_c 8.077
_cell_angle_alpha 90.00
_cell_angle_beta 90.00
_cell_angle_gamma 90.00
_space_group_name_H-M_alt 'I 4/m m m'
_space_group_IT_number 139
_space_group_name_Hall '-I 4 2'
loop_
_atom_site_label
_atom_site_fract_x
_atom_site_fract_y
_atom_site_fract_z
_atom_site_occupancy
Nb1 0.000 0.000 0.236 1
I1 0.000 0.500 0.250 1
O1 0.000 0.000 0.000 1
```

Preferred: version P; penalty for the next structure: 0.148 eV/atom.

Version P
A plane-wave DFT calculation with PBE was carried out for a relaxed structure of NbOsI2O.

The structure in CIF format:
```
data_NbOsI2O
_cell_length_a 5.570
_cell_length_b 5.570
_cell_length_c 3.718
_cell_angle_alpha 90.00
_cell_angle_beta 90.00
_cell_angle_gamma 90.00
_space_group_name_H-M_alt 'P 4/m m m'
_space_group_IT_number 123
_space_group_name_Hall '-P 4 2'
loop_
_atom_site_label
_atom_site_fract_x
_atom_site_fract_y
_atom_site_fract_z
_atom_site_occupancy
Nb1 0.000 0.000 0.000 1
Os1 0.500 0.500 0.500 1
I1 0.000 0.500 0.500 1
O1 0.500 0.500 0.000 1
```

Version Q
A plane-wave DFT calculation with PBE was carried out for a relaxed structure of NbOsI2O.

The structure in CIF format:
```
data_NbOsI2O
_cell_length_a 5.631
_cell_length_b 5.631
_cell_length_c 3.860
_cell_angle_alpha 90.00
_cell_angle_beta 90.00
_cell_angle_gamma 90.00
_space_group_name_H-M_alt 'P 4/m m m'
_space_group_IT_number 123
_space_group_name_Hall '-P 4 2'
loop_
_atom_site_label
_atom_site_fract_x
_atom_site_fract_y
_atom_site_fract_z
_atom_site_occupancy
Nb1 0.000 0.000 0.000 1
Os1 0.500 0.500 0.500 1
I1 0.000 0.500 0.000 1
O1 0.000 0.000 0.500 1
```

Preferred: version P; penalty for the next structure: 0.063 eV/atom.

Version P
A plane-wave DFT calculation with PBE was carried out for a relaxed structure of NbPIO2.

The structure in CIF format:
```
data_NbPIO2
_cell_length_a 3.968
_cell_length_b 3.968
_cell_length_c 5.567
_cell_angle_alpha 90.00
_cell_angle_beta 90.00
_cell_angle_gamma 90.00
_space_group_name_H-M_alt 'P 4/m m m'
_space_group_IT_number 123
_space_group_name_Hall '-P 4 2'
loop_
_atom_site_label
_atom_site_fract_x
_atom_site_fract_y
_atom_site_fract_z
_atom_site_occupancy
Nb1 0.000 0.000 0.000 1
P1 0.000 0.000 0.500 1
I1 0.500 0.500 0.500 1
O1 0.000 0.500 0.000 1
```

Version Q
A plane-wave DFT calculation with PBE was carried out for a relaxed structure of NbPIO2.

The structure in CIF format:
```
data_NbPIO2
_cell_length_a 3.932
_cell_length_b 3.932
_cell_length_c 6.366
_cell_angle_alpha 90.00
_cell_angle_beta 90.00
_cell_angle_gamma 90.00
_space_group_name_H-M_alt 'P 4/m m m'
_space_group_IT_number 123
_space_group_name_Hall '-P 4 2'
loop_
_atom_site_label
_atom_site_fract_x
_atom_site_fract_y
_atom_site_fract_z
_atom_site_occupancy
Nb1 0.000 0.000 0.000 1
P1 0.500 0.500 0.500 1
I1 0.000 0.000 0.500 1
O1 0.000 0.500 0.000 1
```

Version R
A plane-wave DFT calculation with PBE was carried out for a relaxed structure of NbPIO2.

The structure in CIF format:
```
data_NbPIO2
_cell_length_a 3.947
_cell_length_b 3.947
_cell_length_c 5.802
_cell_angle_alpha 90.00
_cell_angle_beta 90.00
_cell_angle_gamma 90.00
_space_group_name_H-M_alt 'P 4/m m m'
_space_group_IT_number 123
_space_group_name_Hall '-P 4 2'
loop_
_atom_site_label
_atom_site_fract_x
_atom_site_fract_y
_atom_site_fract_z
_atom_site_occupancy
Nb1 0.000 0.000 0.000 1
P1 0.500 0.500 0.000 1
I1 0.500 0.500 0.500 1
O1 0.000 0.500 0.500 1
```

Preferred: version P; penalty for the next structure: 0.347 eV/atom.

Version P
A plane-wave DFT calculation with PBE was carried out for a relaxed structure of NbPtIO2.

The structure in CIF format:
```
data_NbPtIO2
_cell_length_a 4.072
_cell_length_b 4.072
_cell_length_c 5.488
_cell_angle_alpha 90.00
_cell_angle_beta 90.00
_cell_angle_gamma 90.00
_space_group_name_H-M_alt 'P 4/m m m'
_space_group_IT_number 123
_space_group_name_Hall '-P 4 2'
loop_
_atom_site_label
_atom_site_fract_x
_atom_site_fract_y
_atom_site_fract_z
_atom_site_occupancy
Nb1 0.000 0.000 0.000 1
Pt1 0.500 0.500 0.500 1
I1 0.500 0.500 0.000 1
O1 0.000 0.500 0.500 1
```

Version Q
A plane-wave DFT calculation with PBE was carried out for a relaxed structure of NbPtIO2.

The structure in CIF format:
```
data_NbPtIO2
_cell_length_a 3.905
_cell_length_b 3.905
_cell_length_c 6.217
_cell_angle_alpha 90.00
_cell_angle_beta 90.00
_cell_angle_gamma 90.00
_space_group_name_H-M_alt 'P 4/m m m'
_space_group_IT_number 123
_space_group_name_Hall '-P 4 2'
loop_
_atom_site_label
_atom_site_fract_x
_atom_site_fract_y
_atom_site_fract_z
_atom_site_occupancy
Nb1 0.000 0.000 0.000 1
Pt1 0.500 0.500 0.500 1
I1 0.000 0.000 0.500 1
O1 0.000 0.500 0.000 1
```

Preferred: version Q; penalty for the next structure: 1.533 eV/atom.

Version P
A plane-wave DFT calculation with PBE was carried out for a relaxed structure of RbNbI2O.

The structure in CIF format:
```
data_RbNbI2O
_cell_length_a 6.376
_cell_length_b 6.376
_cell_length_c 4.161
_cell_angle_alpha 90.00
_cell_angle_beta 90.00
_cell_angle_gamma 90.00
_space_group_name_H-M_alt 'P 4/m m m'
_space_group_IT_number 123
_space_group_name_Hall '-P 4 2'
loop_
_atom_site_label
_atom_site_fract_x
_atom_site_fract_y
_atom_site_fract_z
_atom_site_occupancy
Rb1 0.000 0.000 0.000 1
Nb1 0.500 0.500 0.500 1
I1 0.000 0.500 0.000 1
O1 0.000 0.000 0.500 1
```

Version Q
A plane-wave DFT calculation with PBE was carried out for a relaxed structure of RbNbI2O.

The structure in CIF format:
```
data_RbNbI2O
_cell_length_a 6.102
_cell_length_b 6.102
_cell_length_c 4.012
_cell_angle_alpha 90.00
_cell_angle_beta 90.00
_cell_angle_gamma 90.00
_space_group_name_H-M_alt 'P 4/m m m'
_space_group_IT_number 123
_space_group_name_Hall '-P 4 2'
loop_
_atom_site_label
_atom_site_fract_x
_atom_site_fract_y
_atom_site_fract_z
_atom_site_occupancy
Rb1 0.000 0.000 0.000 1
Nb1 0.500 0.500 0.500 1
I1 0.000 0.500 0.500 1
O1 0.500 0.500 0.000 1
```

Preferred: version Q; penalty for the next structure: 1.999 eV/atom.

Version P
A plane-wave DFT calculation with PBE was carried out for a relaxed structure of NbReIO2.

The structure in CIF format:
```
data_NbReIO2
_cell_length_a 3.956
_cell_length_b 3.956
_cell_length_c 6.171
_cell_angle_alpha 90.00
_cell_angle_beta 90.00
_cell_angle_gamma 90.00
_space_group_name_H-M_alt 'P 4/m m m'
_space_group_IT_number 123
_space_group_name_Hall '-P 4 2'
loop_
_atom_site_label
_atom_site_fract_x
_atom_site_fract_y
_atom_site_fract_z
_atom_site_occupancy
Nb1 0.000 0.000 0.000 1
Re1 0.500 0.500 0.500 1
I1 0.000 0.000 0.500 1
O1 0.000 0.500 0.000 1
```

Version Q
A plane-wave DFT calculation with PBE was carried out for a relaxed structure of NbReIO2.

The structure in CIF format:
```
data_NbReIO2
_cell_length_a 3.874
_cell_length_b 3.874
_cell_length_c 6.412
_cell_angle_alpha 90.00
_cell_angle_beta 90.00
_cell_angle_gamma 90.00
_space_group_name_H-M_alt 'P 4/m m m'
_space_group_IT_number 123
_space_group_name_Hall '-P 4 2'
loop_
_atom_site_label
_atom_site_fract_x
_atom_site_fract_y
_atom_site_fract_z
_atom_site_occupancy
Nb1 0.000 0.000 0.000 1
Re1 0.500 0.500 0.500 1
I1 0.500 0.500 0.000 1
O1 0.000 0.500 0.500 1
```

Preferred: version P; penalty for the next structure: 0.138 eV/atom.